1.
# Ti3Al2Pd

A geometry-optimized Ti3Al2Pd structure (GGA-PBE, the Alexandria database).

SG   Cmmm
Magnetic moment   0.001 μB/f.u.
Calculated volume   15.89 Å³/atom
Calculated formation energy   -0.47 eV per atom

Cell: 8.375 6.240 6.240 Å, 144.23 90.00 90.00°
Fractional positions:
Pd1 0.220 0.000 0.000
Al1 0.720 0.340 0.660
Al2 0.220 0.660 0.340
Ti1 0.470 0.169 0.831
Ti2 0.470 0.500 0.500
Al3 0.220 0.340 0.660
Al4 0.720 0.660 0.340
Ti3 0.970 0.500 0.500
Ti4 0.970 0.831 0.169
Pd2 0.720 0.000 0.000
Ti5 0.470 0.831 0.169
Ti6 0.970 0.169 0.831

---

2.
# UTaAl

A geometry-optimized UTaAl structure (GGA-PBE, the Alexandria database).

Distance to the lowest polymorph of the same formula   0.405 eV/atom
SG   R-3m
Magnetic moment   0.000 μB/f.u.
Calculated volume   19.90 Å³/atom
Calculated formation energy   0.42 eV per atom

Cell: 4.134 4.134 8.413 Å, 75.78 75.78 60.00°
Fractional positions:
Al1 0.835 0.835 0.494
Ta1 0.439 0.439 0.684
Ta2 0.561 0.561 0.316
U1 0.309 0.309 0.073
Al2 0.165 0.165 0.506
U2 0.691 0.691 0.927

---

3.
# Dy2MgRe

A geometry-optimized Dy2MgRe structure (GGA-PBE, the Alexandria database).

Distance to the lowest polymorph of the same formula   0.679 eV/atom
SG   R-3m
Magnetic moment   0.000 μB/f.u.
Calculated volume   23.46 Å³/atom
Calculated formation energy   0.73 eV per atom

Cell: 3.072 3.072 11.613 Å, 82.40 82.40 60.00°
Fractional positions:
Re1 0.000 0.000 0.000
Dy1 0.081 0.081 0.758
Dy2 0.919 0.919 0.242
Mg1 0.500 0.500 0.500

---

4.
# Ce4Ho11Er9

A geometry-optimized Ce4Ho11Er9 structure (GGA-PBE, the Alexandria database).

SG   Cmmm
Magnetic moment   3.992 μB/f.u.
Calculated volume   30.99 Å³/atom
Calculated formation energy   0.10 eV per atom

Cell: 3.623 14.900 14.900 Å, 112.39 90.00 90.00°
Fractional positions:
Ho1 0.000 0.952 0.591
Er1 0.500 0.931 0.786
Ce1 0.500 0.752 0.552
Ho2 0.000 0.289 0.289
Er2 0.500 0.500 0.500
Ho3 0.000 0.591 0.952
Ho4 0.000 0.842 0.158
Er3 0.500 0.635 0.162
Er4 0.500 0.069 0.214
Ho5 0.000 0.636 0.364
Er5 0.500 0.162 0.635
Ho6 0.000 0.409 0.048
Ho7 0.000 0.000 0.000
Ho8 0.000 0.158 0.842
Ho9 0.000 0.711 0.711
Er6 0.500 0.365 0.838
Ce2 0.500 0.448 0.248
Ce3 0.500 0.552 0.752
Ce4 0.500 0.248 0.448
Er7 0.500 0.786 0.931
Er8 0.500 0.838 0.365
Ho10 0.000 0.048 0.409
Er9 0.500 0.214 0.069
Ho11 0.000 0.364 0.636

---

5.
# PuUC2

A geometry-optimized PuUC2 structure (GGA-PBE, the Alexandria database).

Distance to the lowest polymorph of the same formula   0.000 eV/atom
SG   R-3m
Magnetic moment   5.199 μB/f.u.
Calculated volume   15.58 Å³/atom
Calculated formation energy   -0.07 eV per atom

Cell: 6.012 6.012 6.012 Å, 34.54 34.54 34.54°
Fractional positions:
C1 0.761 0.761 0.761
Pu1 0.000 0.000 0.000
C2 0.239 0.239 0.239
U1 0.500 0.500 0.500

---

6.
# Th2IrSe

A geometry-optimized Th2IrSe structure (GGA-PBE, the Alexandria database).

Distance to the lowest polymorph of the same formula   0.067 eV/atom
SG   R3m
Magnetic moment   0.000 μB/f.u.
Calculated volume   27.41 Å³/atom
Formation energy from raw total energies   -1.250 eV/atom

Cell: 4.101 4.101 7.891 Å, 74.94 74.94 60.00°
Fractional positions:
Th1 0.072 0.072 0.784
Th2 0.262 0.262 0.215
Ir1 0.668 0.668 0.997
Se1 0.499 0.499 0.504

---

7.
# IrRu2W

A geometry-optimized IrRu2W structure (GGA-PBE, the Alexandria database).

Distance to the lowest polymorph of the same formula   0.746 eV/atom
SG   I-42d
Magnetic moment   0.000 μB/f.u.
Calculated volume   16.03 Å³/atom
Calculated formation energy   0.57 eV per atom

Cell: 3.779 3.779 9.369 Å, 78.37 78.37 90.00°
Fractional positions:
Ru1 0.875 0.891 0.750
W1 0.500 0.500 0.000
Ir1 0.750 0.250 0.500
Ru2 0.375 0.359 0.750
Ru3 0.641 0.125 0.250
Ru4 0.109 0.625 0.250
Ir2 0.000 0.000 0.000
W2 0.250 0.750 0.500

---

8.
# Y4B2Br5

A geometry-optimized Y4B2Br5 structure (GGA-PBE, the Alexandria database).

SG   Immm
Magnetic moment   0.000 μB/f.u.
Calculated volume   28.50 Å³/atom
Formation energy from raw total energies   -1.238 eV/atom

Cell: 3.883 7.986 11.041 Å, 111.20 100.13 90.00°
Fractional positions:
Br1 0.500 0.000 0.000
Y1 0.347 0.347 0.695
Y2 0.000 0.702 0.000
Br2 0.837 0.598 0.674
Br3 0.837 0.077 0.674
Br4 0.163 0.923 0.326
B1 0.539 0.539 0.078
Y3 0.000 0.298 0.000
B2 0.461 0.461 0.922
Y4 0.653 0.653 0.305
Br5 0.163 0.402 0.326

---

Record-wise E values, in eV per atom: -6.5330, -8.5459, -5.0854, -4.6990, -11.0848, -8.0467, -9.5238, -5.5626